# AsPOs (GGA-PBEsol, relaxed)
# formation enthalpy at 0 K: 0.099 eV per atom
# excess energy over the best structure of this formula in the dataset: 25 meV/atom
data_AsPOs
_chemical_formula_sum 'As1 P1 Os1'
_symmetry_space_group_name_H-M 'P 3 m 1'
_symmetry_Int_Tables_number 156
_symmetry_space_group_name_Hall 'P 3 -2"'
_cell_length_a 3.1750
_cell_length_b 3.1750
_cell_length_c 5.2900
_cell_angle_alpha 90.00
_cell_angle_beta 90.00
_cell_angle_gamma 120.00
loop_
_atom_site_label
_atom_site_type_symbol
_atom_site_fract_x
_atom_site_fract_y
_atom_site_fract_z
_atom_site_occupancy
As1 As 0.0000 0.0000 0.0000 1
P1 P 0.6667 0.3333 0.3764 1
Os1 Os 0.3333 0.6667 0.6592 1